No. 1
Here is Mg3In2Sn after structural relaxation from Alexandria. Energies are from PBE-GGA.

Values from the calculation:
crystal system: orthorhombic
relative energy among the computed polymorphs: 0.020 eV per atom

abc: 5.3523 15.8938 3.3869
angles: 90.00 90.00 90.00
Space group Cmmm (No. 65)
One atom of each set of equivalent atoms:
Mg  0.0000  0.0000  0.0000 [2 per cell]
Mg  0.0000  0.3374  0.0000 [4 per cell]
In  0.0000  0.1687  0.5000 [4 per cell]
Sn  0.0000  0.5000  0.5000 [2 per cell]

=====

No. 2
Here is Mg2InSn3 after structural relaxation from Alexandria. Energies are from PBE-GGA.

Values from the calculation:
crystal system: tetragonal
relative energy among the computed polymorphs: 0.000 eV per atom

abc: 3.3953 3.3953 13.1199
angles: 90.00 90.00 90.00
Space group P4/mmm (No. 123)
One atom of each set of equivalent atoms:
Mg  0.0000  0.0000  0.1591 [2 per cell]
In  0.0000  0.0000  0.5000 [1 per cell]
Sn  0.5000  0.5000  0.0000 [1 per cell]
Sn  0.5000  0.5000  0.3174 [2 per cell]

=====

No. 3
Here is Mg3In3Sn2 after structural relaxation from Alexandria. Energies are from PBE-GGA.

Values from the calculation:
crystal system: orthorhombic

abc: 4.5389 4.6223 9.3383
angles: 90.00 90.00 90.00
Space group Pmmm (No. 47)
One atom of each set of equivalent atoms:
Mg  0.0000  0.0000  0.0000 [1 per cell]
Mg  0.0000  0.5000  0.2497 [2 per cell]
In  0.0000  0.0000  0.5000 [1 per cell]
In  0.5000  0.5000  0.0000 [1 per cell]
In  0.5000  0.5000  0.5000 [1 per cell]
Sn  0.5000  0.0000  0.2398 [2 per cell]

=====

No. 4
Here is Mg2In2Sn3 after structural relaxation from Alexandria. Energies are from PBE-GGA.

Values from the calculation:
crystal system: orthorhombic

abc: 4.2548 25.8238 3.2834
angles: 90.00 90.00 90.00
Space group Cmmm (No. 65)
One atom of each set of equivalent atoms:
Mg  0.0000  0.1425  0.0000 [4 per cell]
In  0.0000  0.2932  0.5000 [4 per cell]
Sn  0.0000  0.0000  0.0000 [2 per cell]
Sn  0.0000  0.4241  0.5000 [4 per cell]

=====

No. 5
Here is Mg4InSn after structural relaxation from Alexandria. Energies are from PBE-GGA.

Values from the calculation:
crystal system: monoclinic
relative energy among the computed polymorphs: 0.002 eV per atom

abc: 10.0763 4.4105 6.6643
angles: 90.00 108.90 90.00
Space group C2/m (No. 12)
One atom of each set of equivalent atoms:
Mg  0.1643  0.0000  0.3325 [4 per cell]
Mg  0.1652  0.0000  0.8330 [4 per cell]
In  0.0000  0.5000  0.0000 [2 per cell]
Sn  0.0000  0.5000  0.5000 [2 per cell]

=====

No. 6
Here is Mg3In3Sn2 after structural relaxation from Alexandria. Energies are from PBE-GGA.

Values from the calculation:
crystal system: orthorhombic

abc: 4.6478 4.6520 9.0914
angles: 90.00 90.00 90.00
Space group Pmmm (No. 47)
One atom of each set of equivalent atoms:
Mg  0.0000  0.0000  0.0000 [1 per cell]
Mg  0.0000  0.0000  0.5000 [1 per cell]
Mg  0.5000  0.5000  0.0000 [1 per cell]
In  0.0000  0.5000  0.2401 [2 per cell]
In  0.5000  0.5000  0.5000 [1 per cell]
Sn  0.5000  0.0000  0.2379 [2 per cell]

=====

Density of states at the Fermi level / states/eV per atom: 0.46 0.40 0.43 0.46 0.40 0.49
Formation energy / eV/f.u.: -0.5 -0.4 -0.5 -0.1 -0.5 -0.5